# BaMg2Rh2

A relaxed structure of BaMg2Rh2 (GGA-PBEsol, Alexandria via LeMat-Bulk).

Cell and atoms, written as extended XYZ:
```
5
Lattice="4.3949 0.0000 0.0000 0.0000 4.3949 0.0000 -2.1974 -2.1974 5.5975" Properties=species:S:1:pos:R:3 pbc="T T T"
Mg 0.0000 2.1974 2.7987
Mg 2.1974 0.0000 2.7987
Rh 0.0000 0.0000 4.3429
Rh 2.1974 2.1974 1.2546
Ba 0.0000 0.0000 0.0000
```

Mass density (g/cm3): 6.02
Space group: I4/mmm (139)
Energy of formation (kcal/mol of atoms): -4.678
Calculated total energy (eV/cell): -22.9



# BaMg2Ru

A relaxed structure of BaMg2Ru (GGA-PBEsol, Alexandria via LeMat-Bulk).

Cell and atoms, written as extended XYZ:
```
4
Lattice="-2.5538 -2.0912 -0.1303 0.1997 0.0308 -4.4069 5.7524 -4.5677 2.4369" Properties=species:S:1:pos:R:3 pbc="T T T"
Mg 1.9272 -4.9657 0.0527
Mg 3.2631 -6.4627 -2.1053
Ru 4.5261 -5.5376 0.1665
Ba 1.6558 -1.8883 -2.1462
```

Mass density (g/cm3): 4.52
Space group: Imm2 (44)
Energy of formation (kcal/mol of atoms): 6.621
Calculated total energy (eV/cell): -14.6



# Ba2MgRu

A relaxed structure of Ba2MgRu (GGA-PBEsol, Alexandria via LeMat-Bulk).

Cell and atoms, written as extended XYZ:
```
4
Lattice="4.6690 0.0000 0.0000 0.0000 4.7622 0.0000 0.0000 -2.3811 5.8994" Properties=species:S:1:pos:R:3 pbc="T T T"
Ba 0.0000 0.0000 1.2686
Ba 2.3345 0.0000 4.6083
Mg 0.0000 2.3811 3.5393
Ru 2.3345 2.3811 2.4070
```

Mass density (g/cm3): 5.06
ΔE to the lowest computed polymorph (kJ/mol of formula units): 44.7
Space group: Amm2 (38)
Energy of formation (kcal/mol of atoms): 8.113
Calculated total energy (eV/cell): -14.8



# BaMg2Ru

A relaxed structure of BaMg2Ru (GGA-PBEsol, Alexandria via LeMat-Bulk).

Cell and atoms, written as extended XYZ:
```
4
Lattice="3.8479 0.0000 -0.0370 0.0000 4.4237 0.0000 -1.8628 0.0000 6.3751" Properties=species:S:1:pos:R:3 pbc="T T T"
Ru 1.7107 0.0000 2.7919
Ba -0.1993 2.2119 4.2688
Mg -0.2317 0.0000 0.9861
Mg 1.6980 2.2119 1.4605
```

Mass density (g/cm3): 4.40
Space group: Amm2 (38)
Energy of formation (kcal/mol of atoms): 7.775
Calculated total energy (eV/cell): -14.4



# BaMg2Ru

A relaxed structure of BaMg2Ru (GGA-PBEsol, Alexandria via LeMat-Bulk).

Cell and atoms, written as extended XYZ:
```
4
Lattice="-3.9816 -1.2598 -0.6390 1.4095 -3.6690 -1.5492 -0.1133 -2.0404 4.7291" Properties=species:S:1:pos:R:3 pbc="T T T"
Mg -1.9908 -0.6299 -0.3195
Mg 0.7048 -1.8345 -0.7746
Ba -0.0567 -1.0202 2.3645
Ru -1.3427 -3.4846 1.2705
```

Mass density (g/cm3): 5.18
Space group: P4/mmm (123)
Energy of formation (kcal/mol of atoms): 13.105
Calculated total energy (eV/cell): -13.5



# BaMgRu2

A relaxed structure of BaMgRu2 (GGA-PBEsol, Alexandria via LeMat-Bulk).

Cell and atoms, written as extended XYZ:
```
4
Lattice="-0.8373 -0.1002 -2.8107 0.3754 -4.4774 0.0478 -6.0022 -0.4820 1.9989" Properties=species:S:1:pos:R:3 pbc="T T T"
Ru -4.6001 -0.3936 -0.7367
Ru -2.2394 -0.1886 -0.0751
Ba -0.2309 -2.2888 -1.3815
Mg -2.8134 -2.4797 1.0233
```

Mass density (g/cm3): 7.22
Space group: P2/m (10)
Energy of formation (kcal/mol of atoms): 15.427
Calculated total energy (eV/cell): -21.5